[1]
# KBaMgBe2

A relaxed structure of KBaMgBe2 (PBE, Alexandria via LeMat-Bulk).

a = 5.932 Å, b = 5.932 Å, c = 6.571 Å
α = 90.00°, β = 90.00°, γ = 90.00°
Fractional positions:
K1 0.000 0.000 0.000
Ba1 0.500 0.500 0.500
Mg1 0.500 0.500 0.000
Be1 0.000 0.500 0.500
Be2 0.500 0.000 0.500

## Properties
Energy of formation from the pure elements, meV/atom: 1319

---

[2]
# LiTbAlRu

A relaxed structure of LiTbAlRu (PBE, Alexandria via LeMat-Bulk).

a = 4.624 Å, b = 4.624 Å, c = 4.624 Å
α = 60.00°, β = 60.00°, γ = 60.00°
Fractional positions:
Li1 0.000 0.000 0.000
Tb1 0.750 0.750 0.750
Al1 0.250 0.250 0.250
Ru1 0.500 0.500 0.500

## Properties
Energy of formation from the pure elements, meV/atom: -317

---

[3]
# PmZn3IrRh

A relaxed structure of PmZn3IrRh (PBE, Alexandria via LeMat-Bulk).

a = 7.065 Å, b = 7.065 Å, c = 5.455 Å
α = 90.00°, β = 90.00°, γ = 126.75°
Fractional positions:
Pm1 0.225 0.775 0.750
Pm2 0.775 0.225 0.250
Zn1 0.199 0.199 0.000
Zn2 0.199 0.199 0.500
Zn3 0.355 0.645 0.250
Zn4 0.645 0.355 0.750
Zn5 0.801 0.801 0.000
Zn6 0.801 0.801 0.500
Ir1 0.147 0.853 0.250
Ir2 0.853 0.147 0.750
Rh1 0.434 0.566 0.750
Rh2 0.566 0.434 0.250

## Properties
Energy of formation from the pure elements, meV/atom: -350

---

[4]
# Y2FeAgW

A relaxed structure of Y2FeAgW (PBE, Alexandria via LeMat-Bulk).

a = 5.302 Å, b = 5.302 Å, c = 5.014 Å
α = 90.00°, β = 90.00°, γ = 90.00°
Fractional positions:
Y1 0.000 0.500 0.000
Y2 0.500 0.000 0.000
Fe1 0.000 0.000 0.500
Ag1 0.500 0.500 0.500
W1 0.500 0.500 0.000

## Properties
Energy of formation from the pure elements, meV/atom: 1567

---

[5]
# KCu2Br

A relaxed structure of KCu2Br (PBE, Alexandria via LeMat-Bulk).

a = 6.631 Å, b = 6.631 Å, c = 6.631 Å
α = 101.21°, β = 101.21°, γ = 127.67°
Fractional positions:
K1 0.000 0.000 0.000
K2 0.750 0.250 0.500
Cu1 0.187 0.625 0.062
Cu2 0.375 0.437 0.562
Cu3 0.563 0.125 0.938
Cu4 0.875 0.813 0.438
Br1 0.250 0.750 0.500
Br2 0.500 0.500 0.000

## Properties
Formation energy without anion corrections, meV/atom: 271.2

---

[6]
# Nb2FeSiN

A relaxed structure of Nb2FeSiN (PBE, Alexandria via LeMat-Bulk).

a = 4.271 Å, b = 4.271 Å, c = 3.721 Å
α = 90.00°, β = 90.00°, γ = 90.00°
Fractional positions:
Nb1 0.000 0.500 0.000
Nb2 0.500 0.000 0.000
Fe1 0.000 0.000 0.500
Si1 0.500 0.500 0.500
N1 0.000 0.000 0.000

## Properties
Formation energy without anion corrections, meV/atom: -452.1

---

no.,electronic total energy (eV/atom)
1,-1.095
2,-5.208
3,-4.481
4,-5.873
5,-2.469
6,-8.922